# 1
First-principles (PBE) data for a relaxed LiFeCuSeS2 crystal, as listed in the Open Quantum Materials Database.

Cell lengths 6.375, 6.375, 9.401 Å; angles 90.00, 90.00, 149.94 degrees
Atoms (fractional coordinates):
S (0.128, 0.872, 0.963)
S (0.872, 0.128, 0.463)
S (0.872, 0.128, 0.037)
S (0.128, 0.872, 0.537)
Li (0.733, 0.267, 0.750)
Li (0.267, 0.733, 0.250)
Cu (0.945, 0.055, 0.250)
Cu (0.055, 0.945, 0.750)
Fe (0.500, 0.500, 0.500)
Fe (0.500, 0.500, 0.000)
Se (0.589, 0.411, 0.250)
Se (0.411, 0.589, 0.750)

# 2
First-principles (PBE) data for a relaxed RbTePdAuS2 crystal, as listed in the Open Quantum Materials Database.

Cell lengths 8.807, 8.807, 10.638 Å; angles 90.00, 90.00, 156.25 degrees
Atoms (fractional coordinates):
Pd (0.500, 0.500, 0.500)
Pd (0.500, 0.500, 0.000)
S (0.906, 0.094, 0.030)
S (0.094, 0.906, 0.530)
S (0.094, 0.906, 0.970)
S (0.906, 0.094, 0.470)
Te (0.444, 0.556, 0.750)
Te (0.556, 0.444, 0.250)
Rb (0.236, 0.764, 0.250)
Rb (0.764, 0.236, 0.750)
Au (0.902, 0.098, 0.250)
Au (0.098, 0.902, 0.750)

# 3
First-principles (PBE) data for a relaxed Y2Ga4NiIr crystal, as listed in the Open Quantum Materials Database.

Cell lengths 6.738, 5.471, 5.471 Å; angles 45.20, 90.00, 90.00 degrees
Atoms (fractional coordinates):
Ga (0.311, 0.862, 0.862)
Ga (0.689, 0.862, 0.862)
Ga (0.796, 0.140, 0.140)
Ga (0.204, 0.140, 0.140)
Ir (0.000, 0.708, 0.708)
Y (0.500, 0.576, 0.576)
Y (0.000, 0.422, 0.422)
Ni (0.500, 0.291, 0.291)

# 4
First-principles (PBE) data for a relaxed BeCo2B crystal, as listed in the Open Quantum Materials Database.

Cell lengths 3.664, 3.664, 3.664 Å; angles 60.00, 60.00, 60.00 degrees
Atoms (fractional coordinates):
Co (0.500, 0.500, 0.500)
Co (0.750, 0.750, 0.750)
B (0.000, 0.000, 0.000)
Be (0.250, 0.250, 0.250)

# 5
First-principles (PBE) data for a relaxed SrNdCuSe3 crystal, as listed in the Open Quantum Materials Database.

Cell lengths 9.629, 9.629, 8.365 Å; angles 103.00, 103.00, 25.02 degrees
Atoms (fractional coordinates):
Se (0.000, 0.000, 0.000)
Se (0.500, 0.500, 0.500)
Se (0.672, 0.672, 0.336)
Se (0.675, 0.675, 0.849)
Se (0.325, 0.325, 0.151)
Se (0.328, 0.328, 0.664)
Cu (0.540, 0.540, 0.211)
Cu (0.460, 0.460, 0.789)
Nd (0.838, 0.838, 0.913)
Nd (0.162, 0.162, 0.087)
Sr (0.877, 0.877, 0.430)
Sr (0.123, 0.123, 0.570)

# 6
First-principles (PBE) data for a relaxed RbZrCuSe2S crystal, as listed in the Open Quantum Materials Database.

Cell lengths 7.897, 7.897, 9.997 Å; angles 90.00, 90.00, 151.58 degrees
Atoms (fractional coordinates):
Zr (0.000, 0.000, 0.000)
Zr (0.000, 0.000, 0.500)
Rb (0.263, 0.737, 0.250)
Rb (0.737, 0.263, 0.750)
Se (0.621, 0.379, 0.051)
Se (0.621, 0.379, 0.449)
Se (0.379, 0.621, 0.551)
Se (0.379, 0.621, 0.949)
Cu (0.531, 0.469, 0.250)
Cu (0.469, 0.531, 0.750)
S (0.945, 0.055, 0.250)
S (0.055, 0.945, 0.750)

# 7
First-principles (PBE) data for a relaxed Ho2BeIr2 crystal, as listed in the Open Quantum Materials Database.

Cell lengths 5.702, 5.702, 7.134 Å; angles 101.22, 101.22, 56.59 degrees
Atoms (fractional coordinates):
Ir (0.995, 0.262, 0.011)
Ir (0.262, 0.995, 0.511)
Ir (0.738, 0.005, 0.489)
Ir (0.005, 0.738, 0.989)
Ho (0.489, 0.218, 0.853)
Ho (0.782, 0.511, 0.647)
Ho (0.511, 0.782, 0.147)
Ho (0.218, 0.489, 0.353)
Be (0.094, 0.906, 0.750)
Be (0.906, 0.094, 0.250)

# 8
First-principles (PBE) data for a relaxed NdCu6Pd6 crystal, as listed in the Open Quantum Materials Database.

Cell lengths 6.694, 6.694, 6.694 Å; angles 136.06, 99.16, 96.93 degrees
Atoms (fractional coordinates):
Cu (0.000, 0.500, 0.000)
Cu (0.000, 0.000, 0.500)
Cu (0.764, 0.264, 0.500)
Cu (0.236, 0.736, 0.500)
Cu (0.500, 0.000, 0.000)
Cu (0.500, 0.500, 0.500)
Pd (0.804, 0.500, 0.304)
Pd (0.652, 0.652, 0.000)
Pd (0.348, 0.348, 0.000)
Pd (0.196, 0.500, 0.696)
Pd (0.345, 0.000, 0.345)
Pd (0.655, 0.000, 0.655)
Nd (0.000, 0.000, 0.000)

Values from the calculation:
Formation energy ... -0.33 eV per atom

Let's list total DFT energy (no corrections) in order: -56.02; -45.59; -45.13; -23.88; -58.67; -62.76; -68.96; -62.37 eV/cell.